DFT (PBE) results for crystalline TlAgBiSe3 at its relaxed geometry.

Structure (CIF):
```
data_TlAgBiSe3
_symmetry_space_group_name_H-M 'P 1'
_symmetry_Int_Tables_number 1
_symmetry_space_group_name_Hall 'P 1'
_cell_length_a 4.228
_cell_length_b 9.034
_cell_length_c 9.559
_cell_angle_alpha 104.82
_cell_angle_beta 90.00
_cell_angle_gamma 90.00
loop_
_atom_site_label
_atom_site_type_symbol
_atom_site_fract_x
_atom_site_fract_y
_atom_site_fract_z
_atom_site_occupancy
Bi1 Bi 0.750 0.330 0.856 1
Bi2 Bi 0.250 0.670 0.144 1
Tl1 Tl 0.250 0.189 0.226 1
Tl2 Tl 0.750 0.811 0.774 1
Se1 Se 0.750 0.446 0.164 1
Se2 Se 0.250 0.554 0.836 1
Se3 Se 0.750 0.229 0.519 1
Se4 Se 0.250 0.771 0.481 1
Se5 Se 0.250 0.107 0.872 1
Se6 Se 0.750 0.893 0.128 1
Ag1 Ag 0.250 0.084 0.584 1
Ag2 Ag 0.750 0.916 0.416 1
```

Summary:
ΔE_f (raw): -0.238 eV/atom
DFT total energy: -3.497 eV per atom
Space-group type: P2_1/m, No. 11